(1)
A plane-wave DFT calculation with GGA-PBE was carried out for a relaxed Ca2AgSbSe4 crystal.

Lattice parameters (Å, degrees): 7.150 4.187 7.287 90.00 109.64 90.00
Space group P2/m (No. 10)
Inequivalent atoms, fractional coordinates:
Ca 0.000 0.000 0.000 [1 per cell]
Ca 0.000 0.500 0.500 [1 per cell]
Ag 0.500 0.000 0.500 [1 per cell]
Sb 0.500 0.500 0.000 [1 per cell]
Se 0.256 0.000 0.756 [2 per cell]
Se 0.258 0.500 0.249 [2 per cell]

Summary:
ΔE_f (raw): -8.1 eV/f.u.

---

(2)
A plane-wave DFT calculation with GGA-PBE was carried out for a relaxed TaAgPIr2 crystal.

Lattice parameters (Å, degrees): 4.406 4.406 4.582 90.00 90.00 90.00
Space group P4/mmm (No. 123)
Inequivalent atoms, fractional coordinates:
Ta 0.000 0.000 0.000 [1 per cell]
Ag 0.500 0.500 0.000 [1 per cell]
P 0.000 0.000 0.500 [1 per cell]
Ir 0.000 0.500 0.500 [2 per cell]

Summary:
N(E_F): 1.15 states/eV/atom
formation energy: 44 kJ/mol of atoms

---

Volume, record by record: 25.7 17.8 A^3/atom
Magnetization, record by record: 0.0 0.0 μB per formula unit